No. 1
# KHg8Pb2, optimized geometry, DFT PBE
# - formation energy (eV per atom) = -0.058
# - volume (Å³/cell) = 663.2
# - calculated total energy (eV/atom) = -1.052
data_KHg8Pb2
_chemical_formula_sum 'K2 Hg16 Pb4'
_space_group_name_H-M_alt 'C 1 2/m 1'
_space_group_IT_number 12
_space_group_name_Hall '-C 2y'
_cell_length_a 16.818
_cell_length_b 6.728
_cell_length_c 6.179
_cell_angle_alpha 90.00
_cell_angle_beta 108.47
_cell_angle_gamma 90.00
loop_
_atom_site_label
_atom_site_fract_x
_atom_site_fract_y
_atom_site_fract_z
K1 0.000 0.000 0.000
Hg1 0.092 0.251 0.568
Hg2 0.093 0.500 0.009
Hg3 0.213 0.000 0.998
Pb1 0.246 0.500 0.485

No. 2
# LaCd2Si, optimized geometry, DFT PBE
# - energy relative to the elements, uncorrected (eV/atom) = -0.022
# - volume (Å³/cell) = 97.5
# - calculated total energy (eV/atom) = -3.067
data_LaCd2Si
_chemical_formula_sum 'La1 Cd2 Si1'
_space_group_name_H-M_alt 'P m m m'
_space_group_IT_number 47
_space_group_name_Hall '-P 2 2'
_cell_length_a 3.427
_cell_length_b 4.083
_cell_length_c 6.972
_cell_angle_alpha 90.00
_cell_angle_beta 90.00
_cell_angle_gamma 90.00
loop_
_atom_site_label
_atom_site_fract_x
_atom_site_fract_y
_atom_site_fract_z
La1 0.000 0.000 0.000
Cd1 0.500 0.500 0.293
Si1 0.000 0.000 0.500

No. 3
# Y3CdSe2, optimized geometry, DFT PBE
# - energy relative to the elements, uncorrected (eV/atom) = -1.068
# - volume (Å³/cell) = 630.9
# - calculated total energy (eV/atom) = -5.614
data_Y3CdSe2
_chemical_formula_sum 'Y12 Cd4 Se8'
_space_group_name_H-M_alt 'C m c m'
_space_group_IT_number 63
_space_group_name_Hall '-C 2c 2'
_cell_length_a 5.107
_cell_length_b 12.718
_cell_length_c 9.714
_cell_angle_alpha 90.00
_cell_angle_beta 90.00
_cell_angle_gamma 90.00
loop_
_atom_site_label
_atom_site_fract_x
_atom_site_fract_y
_atom_site_fract_z
Y1 0.000 0.119 0.250
Y2 0.000 0.364 0.049
Cd1 0.000 0.220 0.750
Se1 0.000 0.000 0.000
Se2 0.000 0.468 0.750

No. 4
# Mo2IrN4, optimized geometry, DFT PBE
# - energy relative to the elements, uncorrected (eV/atom) = 0.968
# - volume (Å³/cell) = 169.2
# - calculated total energy (eV/atom) = -8.149
data_Mo2IrN4
_chemical_formula_sum 'Mo4 Ir2 N8'
_space_group_name_H-M_alt 'I 4/m m m'
_space_group_IT_number 139
_space_group_name_Hall '-I 4 2'
_cell_length_a 4.026
_cell_length_b 4.026
_cell_length_c 10.438
_cell_angle_alpha 90.00
_cell_angle_beta 90.00
_cell_angle_gamma 90.00
loop_
_atom_site_label
_atom_site_fract_x
_atom_site_fract_y
_atom_site_fract_z
Mo1 0.000 0.000 0.138
Ir1 0.000 0.000 0.500
N1 0.000 0.000 0.307
N2 0.000 0.500 0.000

Copy entry 3 word for word.
# Y3CdSe2, optimized geometry, DFT PBE
# - energy relative to the elements, uncorrected (eV/atom) = -1.068
# - volume (Å³/cell) = 630.9
# - calculated total energy (eV/atom) = -5.614
data_Y3CdSe2
_chemical_formula_sum 'Y12 Cd4 Se8'
_space_group_name_H-M_alt 'C m c m'
_space_group_IT_number 63
_space_group_name_Hall '-C 2c 2'
_cell_length_a 5.107
_cell_length_b 12.718
_cell_length_c 9.714
_cell_angle_alpha 90.00
_cell_angle_beta 90.00
_cell_angle_gamma 90.00
loop_
_atom_site_label
_atom_site_fract_x
_atom_site_fract_y
_atom_site_fract_z
Y1 0.000 0.119 0.250
Y2 0.000 0.364 0.049
Cd1 0.000 0.220 0.750
Se1 0.000 0.000 0.000
Se2 0.000 0.468 0.750

Question: What is the volume in the third record?
Answer: 630.9 Å³/cell

Question: What is the formula in the second record?
Answer: LaCd2Si